No. 1
Computed, not measured: Zr2CuSi after structural relaxation at the GGA-PBE level of DFT.

symmetry: Cmm2
uncorrected formation energy: -167 meV per atom
DOS at the Fermi energy: 0.902 states/eV per atom

The structure in POSCAR format:
```
Zr2CuSi
1.0
3.096 0.017 0.000
-0.308 3.081 0.000
0.000 0.000 7.518
Cu Zr Si
1 2 1
direct
0.000 0.000 0.545
0.000 0.000 0.964
0.500 0.500 0.286
0.500 0.500 0.704
```

No. 2
Computed, not measured: Zr2CuSi after structural relaxation at the GGA-PBE level of DFT.

symmetry: P4/mmm
uncorrected formation energy: -391 meV per atom
DOS at the Fermi energy: 0.714 states/eV per atom

The structure in POSCAR format:
```
Zr2CuSi
1.0
-0.348 -3.657 2.346
-1.728 -2.042 -3.440
3.406 -1.030 -1.100
Zr Si Cu
2 1 1
direct
0.500 0.500 0.000
0.000 0.000 0.000
0.000 0.500 0.500
0.500 0.000 0.500
```